(1)
The following is a PBE calculation of crystalline CrRe2Br at its relaxed geometry, from Alexandria.

The offset from the most stable computed form is 0.404 eV per atom. The calculation puts the energy relative to the elements, uncorrected at 0.974 eV/atom. Its density of states at the Fermi level is 3.35 states/eV/f.u. Its space-group type is Imm2, No. 44. For the density, the calculation gives 14.37 g/cm3.

a = 5.217 Å, b = 5.217 Å, c = 5.217 Å
α = 147.41°, β = 129.74°, γ = 61.20°
Fractional coordinates of all 4 atoms:
1 Cr 0.000 0.000 0.000
2 Re 0.269 0.769 0.500
3 Re 0.531 0.531 0.000
4 Br 0.778 0.278 0.500

=====

(2)
The following is a PBE calculation of crystalline CrRe2Br at its relaxed geometry, from Alexandria.

The offset from the most stable computed form is 0.662 eV per atom. The calculation puts the energy relative to the elements, uncorrected at 1.232 eV/atom. Its density of states at the Fermi level is 3.09 states/eV/f.u. Its space-group type is Cmmm, No. 65. For the density, the calculation gives 13.35 g/cm3.

a = 4.890 Å, b = 4.890 Å, c = 2.942 Å
α = 90.00°, β = 90.00°, γ = 116.92°
Fractional coordinates of all 4 atoms:
1 Cr 0.000 0.000 0.000
2 Re 0.000 0.500 0.500
3 Re 0.500 0.000 0.500
4 Br 0.500 0.500 0.000

=====

(3)
The following is a PBE calculation of crystalline CrReBr2 at its relaxed geometry, from Alexandria.

The offset from the most stable computed form is 0.316 eV per atom. The calculation puts the energy relative to the elements, uncorrected at 0.507 eV/atom. Its density of states at the Fermi level is 2.82 states/eV/f.u. Its space-group type is Immm, No. 71. For the density, the calculation gives 6.64 g/cm3.

a = 7.819 Å, b = 7.819 Å, c = 7.819 Å
α = 156.68°, β = 148.18°, γ = 39.82°
Fractional coordinates of all 4 atoms:
1 Cr 0.000 0.000 0.000
2 Re 0.500 0.500 0.000
3 Br 0.359 0.859 0.500
4 Br 0.641 0.141 0.500